No. 1
Er5TeSe5 after structural relaxation. Source: Alexandria via LeMat-Bulk, functional GGA-PBE.

CIF file:
```
data_Er5TeSe5
_chemical_formula_sum 'Er5 Te1 Se5'
_cell_length_a 7.040
_cell_length_b 7.040
_cell_length_c 8.160
_cell_angle_alpha 106.41
_cell_angle_beta 106.41
_cell_angle_gamma 48.61
_symmetry_space_group_name_H-M 'P 1'
_symmetry_Int_Tables_number 1
loop_
_symmetry_equiv_pos_as_xyz
'x,y,z'
loop_
_atom_site_label
_atom_site_type_symbol
_atom_site_fract_x
_atom_site_fract_y
_atom_site_fract_z
Er1 Er 0.000 0.000 0.000
Er2 Er 0.329 0.329 0.651
Er3 Er 0.332 0.332 0.182
Er4 Er 0.668 0.668 0.818
Er5 Er 0.671 0.671 0.349
Te1 Te 0.500 0.500 0.000
Se1 Se 0.160 0.160 0.335
Se2 Se 0.171 0.171 0.838
Se3 Se 0.500 0.500 0.500
Se4 Se 0.829 0.829 0.162
Se5 Se 0.840 0.840 0.665
```

***

No. 2
Er5Te5Se2 after structural relaxation. Source: Alexandria via LeMat-Bulk, functional GGA-PBE.

CIF file:
```
data_Er5Te5Se2
_chemical_formula_sum 'Er5 Te5 Se2'
_cell_length_a 7.313
_cell_length_b 7.313
_cell_length_c 12.651
_cell_angle_alpha 104.73
_cell_angle_beta 104.73
_cell_angle_gamma 33.09
_symmetry_space_group_name_H-M 'P 1'
_symmetry_Int_Tables_number 1
loop_
_symmetry_equiv_pos_as_xyz
'x,y,z'
loop_
_atom_site_label
_atom_site_type_symbol
_atom_site_fract_x
_atom_site_fract_y
_atom_site_fract_z
Er1 Er 0.000 0.000 0.000
Er2 Er 0.109 0.109 0.409
Er3 Er 0.315 0.315 0.193
Er4 Er 0.685 0.685 0.807
Er5 Er 0.891 0.891 0.591
Te1 Te 0.252 0.252 0.646
Te2 Te 0.337 0.337 0.948
Te3 Te 0.500 0.500 0.500
Te4 Te 0.663 0.663 0.052
Te5 Te 0.748 0.748 0.354
Se1 Se 0.039 0.039 0.790
Se2 Se 0.961 0.961 0.210
```

***

No. 3
Er3Te2Se2 after structural relaxation. Source: Alexandria via LeMat-Bulk, functional GGA-PBE.

CIF file:
```
data_Er3Te2Se2
_chemical_formula_sum 'Er3 Te2 Se2'
_cell_length_a 7.109
_cell_length_b 7.109
_cell_length_c 7.327
_cell_angle_alpha 98.46
_cell_angle_beta 98.46
_cell_angle_gamma 33.63
_symmetry_space_group_name_H-M 'P 1'
_symmetry_Int_Tables_number 1
loop_
_symmetry_equiv_pos_as_xyz
'x,y,z'
loop_
_atom_site_label
_atom_site_type_symbol
_atom_site_fract_x
_atom_site_fract_y
_atom_site_fract_z
Er1 Er 0.000 0.000 0.000
Er2 Er 0.247 0.247 0.756
Er3 Er 0.753 0.753 0.244
Te1 Te 0.118 0.118 0.381
Te2 Te 0.882 0.882 0.619
Se1 Se 0.373 0.373 0.112
Se2 Se 0.627 0.627 0.888
```

Summary:
The energy relative to the lowest polymorph listed for this composition comes out at 0.000 eV per formula unit.

***

| no. | E_tot (eV/atom) | uncorrected formation energy (meV per atom) | total magnetization (μB per formula unit) |
| --- | --- | --- | --- |
| 1 | -5.639 | -1696 | 0.00 |
| 2 | -5.263 | -1472 | 0.00 |
| 3 | -5.463 | -1614 | 0.00 |